VASP calculation (GGA-PBE) on NbOs after structural relaxation.

The space group is F-43m (No. 216) and the conventional cell measures 5.800, 5.800 and 5.800 Å, with angles of 90.00, 90.00 and 90.00 degrees. The distinct sites, in fractional coordinates, are Nb at (0.000, 0.000, 0.000) and Os at (0.250, 0.250, 0.750).

For the total magnetic moment, the calculation gives 0.00 μB/cell. The calculation puts the total energy at -9.29 eV per atom. The calculation puts the calculated formation energy at 1362.1 meV per atom.

=====

VASP calculation (GGA-PBE) on NbOs after structural relaxation.

The space group is Immm (No. 71) and the conventional cell measures 3.033, 4.527 and 5.107 Å, with angles of 90.00, 90.00 and 90.00 degrees. The distinct sites, in fractional coordinates, are Nb at (0.000, 0.000, 0.000) and Os at (0.000, 0.000, 0.500).

For the total magnetic moment, the calculation gives 0.00 μB/cell. The calculation puts the total energy at -10.20 eV per atom. The calculation puts the calculated formation energy at 450.2 meV per atom.

=====

VASP calculation (GGA-PBE) on NbOs after structural relaxation.

The space group is P4_2/mnm (No. 136) and the conventional cell measures 5.264, 5.264 and 5.208 Å, with angles of 90.00, 90.00 and 90.00 degrees. The distinct sites, in fractional coordinates, are Nb at (0.210, 0.210, 0.000) and Os at (0.207, 0.207, 0.500).

For the total magnetic moment, the calculation gives 0.00 μB/cell. The calculation puts the total energy at -10.08 eV per atom. The calculation puts the calculated formation energy at 568.4 meV per atom.

=====

VASP calculation (GGA-PBE) on NbOs after structural relaxation.

The space group is I-43m (No. 217) and the conventional cell measures 7.784, 7.784 and 7.784 Å, with angles of 90.00, 90.00 and 90.00 degrees. The distinct sites, in fractional coordinates, are Nb at (0.190, 0.190, 0.190) and Os at (0.128, 0.128, 0.872).

For the total magnetic moment, the calculation gives 0.00 μB/cell. The calculation puts the total energy at -9.10 eV per atom. The calculation puts the calculated formation energy at 1545.1 meV per atom.